[1]
This record from Alexandria describes a geometry-optimized Sc2Mn2Au structure. The functional is PBE.

As for the total moment: 0.0 μB per formula unit. The value obtained for the energy of formation from the pure elements is -0.4 eV per formula unit. The calculation puts the total energy at -6.939 eV/atom. The offset from the most stable computed form comes out at 77 meV per atom. Its calculated density is 7646 kg/m³.

The structure in extended XYZ format:
```
10
Lattice="3.190 0.000 0.000 0.000 3.190 0.000 0.000 0.000 16.934" Properties=species:S:1:pos:R:3 pbc="T T T"
Sc 0.000 0.000 1.903
Sc 0.000 0.000 15.031
Sc 1.595 1.595 6.564
Sc 1.595 1.595 10.370
Mn 0.000 1.595 4.233
Mn 0.000 1.595 12.700
Mn 1.595 0.000 4.233
Mn 1.595 0.000 12.700
Au 0.000 0.000 8.467
Au 1.595 1.595 0.000
```

[2]
This record from Alexandria describes a geometry-optimized Hf4Tc2Ni structure. The functional is PBE.

As for the total moment: 0.0 μB per formula unit. The value obtained for the energy of formation from the pure elements is -2.0 eV per formula unit. The calculation puts the total energy at -9.757 eV/atom. Its calculated density is 12148 kg/m³.

The structure in extended XYZ format:
```
14
Lattice="6.378 0.000 0.000 0.000 6.378 0.000 0.000 0.000 6.510" Properties=species:S:1:pos:R:3 pbc="T T T"
Hf 1.594 1.594 1.628
Hf 1.594 1.594 4.883
Hf 1.594 4.783 1.628
Hf 1.594 4.783 4.883
Hf 4.783 1.594 1.628
Hf 4.783 1.594 4.883
Hf 4.783 4.783 1.628
Hf 4.783 4.783 4.883
Tc 0.000 3.189 0.000
Tc 0.000 3.189 3.255
Tc 3.189 0.000 0.000
Tc 3.189 0.000 3.255
Ni 0.000 0.000 0.000
Ni 3.189 3.189 3.255
```

[3]
This record from Alexandria describes a geometry-optimized SbSBrCl2 structure. The functional is PBE.

As for the total moment: 1.7 μB per formula unit. The calculation puts the total energy at -2.719 eV/atom. The uncorrected formation energy is 5 meV per atom. The offset from the most stable computed form comes out at 0 meV per atom. Its calculated density is 3523 kg/m³.

The structure in extended XYZ format:
```
5
Lattice="5.193 0.000 0.000 0.000 5.193 0.000 0.000 0.000 5.324" Properties=species:S:1:pos:R:3 pbc="T T T"
Sb 0.000 0.000 0.000
S 0.000 0.000 2.662
Br 2.596 2.596 2.662
Cl 0.000 2.596 0.000
Cl 2.596 0.000 0.000
```

[4]
This record from Alexandria describes a geometry-optimized TePt2Se structure. The functional is PBE.

As for the total moment: 0.0 μB per formula unit. The calculation puts the total energy at -4.486 eV/atom. The uncorrected formation energy is 191 meV per atom. The offset from the most stable computed form comes out at 502 meV per atom. Its calculated density is 13169 kg/m³.

The structure in extended XYZ format:
```
8
Lattice="6.039 0.000 0.000 0.000 7.025 0.000 0.000 0.000 3.548" Properties=species:S:1:pos:R:3 pbc="T T T"
Te 0.000 0.000 0.000
Te 3.019 3.512 0.000
Pt 1.510 1.756 1.774
Pt 1.510 5.268 1.774
Pt 4.529 1.756 1.774
Pt 4.529 5.268 1.774
Se 0.000 3.512 0.000
Se 3.019 0.000 0.000
```

[5]
This record from Alexandria describes a geometry-optimized SrPRuS2 structure. The functional is PBE.

As for the total moment: 0.9 μB per formula unit. The calculation puts the total energy at -5.422 eV/atom. The uncorrected formation energy is -497 meV per atom. The offset from the most stable computed form comes out at 0 meV per atom. Its calculated density is 4342 kg/m³.

The structure in extended XYZ format:
```
5
Lattice="4.980 0.000 0.000 0.000 4.980 0.000 0.000 0.000 4.376" Properties=species:S:1:pos:R:3 pbc="T T T"
Sr 0.000 0.000 0.000
P 2.490 2.490 0.000
Ru 2.490 2.490 2.188
S 0.000 2.490 2.188
S 2.490 0.000 2.188
```

[6]
This record from Alexandria describes a geometry-optimized Ni4W structure. The functional is PBE.

As for the total moment: 0.0 μB per formula unit. The value obtained for the energy of formation from the pure elements is 4.7 eV per formula unit. The calculation puts the total energy at -6.266 eV/atom. The offset from the most stable computed form comes out at 1055 meV per atom. Its calculated density is 8801 kg/m³.

The structure in extended XYZ format:
```
10
Lattice="5.406 0.000 0.000 0.000 5.406 0.000 0.000 0.000 5.406" Properties=species:S:1:pos:R:3 pbc="T T T"
Ni 1.351 1.351 1.351
Ni 1.351 1.351 4.054
Ni 1.351 4.054 1.351
Ni 1.351 4.054 4.054
Ni 4.054 1.351 1.351
Ni 4.054 1.351 4.054
Ni 4.054 4.054 1.351
Ni 4.054 4.054 4.054
W 0.000 0.000 0.000
W 2.703 2.703 2.703
```

[7]
This record from Alexandria describes a geometry-optimized Tm3SiPb2 structure. The functional is PBE.

As for the total moment: 0.0 μB per formula unit. The calculation puts the total energy at -4.783 eV/atom. The uncorrected formation energy is -407 meV per atom. Its calculated density is 9970 kg/m³.

The structure in extended XYZ format:
```
24
Lattice="12.578 0.000 0.000 0.000 4.268 0.000 0.000 0.000 11.779" Properties=species:S:1:pos:R:3 pbc="T T T"
Tm 0.742 1.067 1.374
Tm 1.417 3.201 6.362
Tm 3.029 3.201 3.219
Tm 3.260 1.067 9.109
Tm 4.872 1.067 0.472
Tm 5.547 3.201 7.264
Tm 7.031 1.067 4.515
Tm 7.706 3.201 11.307
Tm 9.318 3.201 2.671
Tm 9.549 1.067 8.560
Tm 11.162 1.067 5.418
Tm 11.836 3.201 10.405
Si 1.471 1.067 4.356
Si 4.818 3.201 10.245
Si 7.760 1.067 1.534
Si 11.107 3.201 7.424
Pb 0.311 1.067 8.432
Pb 2.365 3.201 11.655
Pb 3.924 1.067 5.766
Pb 5.978 3.201 2.543
Pb 6.601 1.067 9.237
Pb 8.654 3.201 6.014
Pb 10.213 1.067 0.124
Pb 12.267 3.201 3.347
```

[8]
This record from Alexandria describes a geometry-optimized Cs4NpSe4 structure. The functional is PBE.

As for the total moment: 3.0 μB per formula unit. The calculation puts the total energy at -4.418 eV/atom. The uncorrected formation energy is -1052 meV per atom. The offset from the most stable computed form comes out at 60 meV per atom. Its calculated density is 3300 kg/m³.

The structure in extended XYZ format:
```
9
Lattice="-4.318 4.318 7.317 4.318 -4.318 7.317 4.318 4.318 -7.317" Properties=species:S:1:pos:R:3 pbc="T T T"
Cs 4.318 0.000 0.000
Cs 0.000 0.000 2.925
Cs 0.000 4.318 0.000
Cs 0.000 0.000 11.709
Np 0.000 0.000 7.317
Se 1.560 -1.560 5.732
Se 2.758 2.758 1.585
Se -1.560 1.560 5.732
Se 1.560 1.560 8.901
```

[9]
This record from Alexandria describes a geometry-optimized BiRu structure. The functional is PBE.

As for the total moment: 0.0 μB per formula unit. The value obtained for the energy of formation from the pure elements is 1.4 eV per formula unit. The calculation puts the total energy at -5.903 eV/atom. Its calculated density is 12147 kg/m³.

The structure in extended XYZ format:
```
8
Lattice="5.499 0.000 0.000 0.000 5.499 0.000 0.000 0.000 5.606" Properties=species:S:1:pos:R:3 pbc="T T T"
Bi 1.179 1.179 0.000
Bi 1.571 3.928 2.803
Bi 3.928 1.571 2.803
Bi 4.321 4.321 0.000
Ru 1.121 1.121 2.803
Ru 1.629 3.870 0.000
Ru 3.870 1.629 0.000
Ru 4.379 4.379 2.803
```

[10]
This record from Alexandria describes a geometry-optimized La2TmAs3Ir4 structure. The functional is PBE.

As for the total moment: 0.0 μB per formula unit. The value obtained for the energy of formation from the pure elements is -8.4 eV per formula unit. The calculation puts the total energy at -7.215 eV/atom. Its calculated density is 12012 kg/m³.

The structure in extended XYZ format:
```
10
Lattice="4.175 0.000 0.000 0.000 4.175 0.000 0.000 0.000 11.426" Properties=species:S:1:pos:R:3 pbc="T T T"
La 0.000 2.087 2.644
La 2.087 0.000 8.782
Tm 0.000 0.000 5.713
As 0.000 2.087 9.975
As 2.087 0.000 1.451
As 2.087 2.087 5.713
Ir 0.000 0.000 0.000
Ir 0.000 2.087 7.521
Ir 2.087 0.000 3.905
Ir 2.087 2.087 0.000
```

[11]
This record from Alexandria describes a geometry-optimized ZnNiRu structure. The functional is PBE.

As for the total moment: 0.7 μB per formula unit. The value obtained for the energy of formation from the pure elements is 0.3 eV per formula unit. The calculation puts the total energy at -5.360 eV/atom. The offset from the most stable computed form comes out at 79 meV per atom. Its calculated density is 9617 kg/m³.

The structure in extended XYZ format:
```
6
Lattice="2.616 0.000 0.000 0.000 3.661 0.000 0.000 0.000 8.119" Properties=species:S:1:pos:R:3 pbc="T T T"
Zn 0.000 0.000 0.000
Zn 1.308 1.830 4.059
Ni 0.000 0.000 5.375
Ni 1.308 1.830 1.316
Ru 0.000 0.000 2.629
Ru 1.308 1.830 6.688
```

[12]
This record from Alexandria describes a geometry-optimized NiGePb3 structure. The functional is PBE.

As for the total moment: 0.0 μB per formula unit. The value obtained for the energy of formation from the pure elements is 1.5 eV per formula unit. The calculation puts the total energy at -4.008 eV/atom. The offset from the most stable computed form comes out at 0 meV per atom. Its calculated density is 9203 kg/m³.

The structure in extended XYZ format:
```
5
Lattice="5.141 0.000 0.000 0.000 5.141 0.000 0.000 0.000 5.141" Properties=species:S:1:pos:R:3 pbc="T T T"
Ni 0.000 0.000 0.000
Ge 2.570 2.570 2.570
Pb 0.000 0.000 2.570
Pb 0.000 2.570 0.000
Pb 2.570 0.000 0.000
```

What is the total moment in the third record? 1.7 μB per formula unit